Density functional theory data (GGA-PBE) for an optimized crystal structure of Pm3Tm4Pb.

density of states at the Fermi level	1.097	states/eV/atom
VASP energy	-73.8	eV for the cell shown
space group	Pmn2_1
M_tot	0.00	μB per formula unit
energy relative to the elements	-0.1288	eV per atom

a = 6.2021 Å, b = 7.0811 Å, c = 11.2153 Å
α = 90.00°, β = 90.00°, γ = 90.00°
Closest atoms and distances in Å follow each position.
Atoms (fractional coordinates):
1 Pm 0.4668 0.3862 0.7428  4 Pm 3.43-3.51, 2 Pb 3.46-3.48, 6 Tm 3.50-3.77
2 Tm 0.4917 0.8799 0.7413  1 Pb 3.35, 6 Tm 3.40-3.54, 4 Pm 3.50-3.59
3 Tm 0.6489 0.1278 0.0000  6 Tm 3.44-3.68, 2 Pb 3.48-3.53, 4 Pm 3.52-3.60
4 Tm 0.9917 0.1201 0.2413  1 Pb 3.35, 6 Tm 3.40-3.54, 4 Pm 3.50-3.59
5 Pb 0.1533 0.3592 0.0000  6 Tm 3.35-3.65, 5 Pm 3.46-3.53
6 Pm 0.6301 0.6305 0.0000  6 Tm 3.35-3.75, 4 Pm 3.43-3.51, 1 Pb 3.53
7 Pm 0.4668 0.3862 0.2572  4 Pm 3.43-3.51, 2 Pb 3.46-3.48, 6 Tm 3.50-3.77
8 Pm 0.1301 0.3695 0.5000  6 Tm 3.35-3.75, 4 Pm 3.43-3.51, 1 Pb 3.53
9 Tm 0.1662 0.8741 0.0000  4 Pm 3.35-3.75, 6 Tm 3.40-3.68, 2 Pb 3.44-3.65
10 Tm 0.6662 0.1259 0.5000  4 Pm 3.35-3.75, 6 Tm 3.40-3.68, 2 Pb 3.44-3.65
11 Tm 0.4917 0.8799 0.2587  1 Pb 3.35, 6 Tm 3.40-3.54, 4 Pm 3.50-3.59
12 Pb 0.6533 0.6408 0.5000  6 Tm 3.35-3.65, 5 Pm 3.46-3.53
13 Tm 0.9917 0.1201 0.7587  1 Pb 3.35, 6 Tm 3.40-3.54, 4 Pm 3.50-3.59
14 Pm 0.9668 0.6138 0.2428  4 Pm 3.43-3.51, 2 Pb 3.46-3.48, 6 Tm 3.50-3.77
15 Pm 0.9668 0.6138 0.7572  4 Pm 3.43-3.51, 2 Pb 3.46-3.48, 6 Tm 3.50-3.77
16 Tm 0.1489 0.8722 0.5000  6 Tm 3.44-3.68, 2 Pb 3.48-3.53, 4 Pm 3.52-3.60